The following is a DFT calculation (PBE+U) of CsRb2W2O7 after structural relaxation.

Structure (CIF):
```
data_CsRb2W2O7
_chemical_formula_sum 'Cs3 Rb6 W6 O21'
_symmetry_space_group_name_H-M 'R 3 2'
_symmetry_Int_Tables_number 155
_symmetry_space_group_name_Hall 'R 3 2"'
_cell_length_a 7.0679
_cell_length_b 7.0679
_cell_length_c 25.1051
_cell_angle_alpha 90.00
_cell_angle_beta 90.00
_cell_angle_gamma 120.00
loop_
_atom_site_label
_atom_site_type_symbol
_atom_site_fract_x
_atom_site_fract_y
_atom_site_fract_z
Cs1 Cs 0.0000 0.0000 0.0000
Rb1 Rb 0.0000 0.0000 0.2668
W1 W 0.0000 0.0000 0.4210
O1 O 0.0000 0.0000 0.5000
O2 O 0.0186 0.2562 0.5984
```

Calculated values
Its crystal system is trigonal. As for the total energy: -73.87 eV per formula unit. For the spin magnetization, the calculation gives 3.0 μB per cell. The density comes out at 3594 kg/m3. For the calculated volume, the calculation gives 1086 Å³/cell.